No. 1
A plane-wave DFT calculation with meta-GGA SCAN was carried out for a PBEsol-optimized structure of Cd3Cu.

```
data_Cd3Cu
_chemical_formula_sum 'Cd6 Cu2'
_symmetry_space_group_name_H-M 'P 1'
_symmetry_Int_Tables_number 1
_cell_length_a 4.620
_cell_length_b 5.260
_cell_length_c 5.872
_cell_angle_alpha 90.00
_cell_angle_beta 90.00
_cell_angle_gamma 90.00
loop_
_symmetry_equiv_pos_as_xyz
'x,y,z'
loop_
_atom_site_label
_atom_site_fract_x
_atom_site_fract_y
_atom_site_fract_z
Cd1 0.500 0.359 0.000
Cd2 0.000 0.168 0.750
Cd3 0.000 0.168 0.250
Cd4 0.500 0.832 0.250
Cd5 0.500 0.832 0.750
Cd6 0.000 0.641 0.500
Cu1 0.500 0.319 0.500
Cu2 0.000 0.681 0.000
```

Values from the calculation:
- VASP energy: -26.556 eV/atom
- Energy relative to the elements: 0.22 eV/f.u.
- Symmetry: No. 59
- Density of states at the Fermi level: 1.286 states/eV per cell
- ρ: 9.328 Mg/m³

***

No. 2
A plane-wave DFT calculation with meta-GGA SCAN was carried out for a PBEsol-optimized structure of Be3Ag.

```
data_Be3Ag
_chemical_formula_sum 'Be6 Ag2'
_symmetry_space_group_name_H-M 'P 1'
_symmetry_Int_Tables_number 1
_cell_length_a 3.787
_cell_length_b 4.820
_cell_length_c 4.820
_cell_angle_alpha 111.66
_cell_angle_beta 90.00
_cell_angle_gamma 90.00
loop_
_symmetry_equiv_pos_as_xyz
'x,y,z'
loop_
_atom_site_label
_atom_site_fract_x
_atom_site_fract_y
_atom_site_fract_z
Be1 0.750 0.153 0.847
Be2 0.750 0.700 0.885
Be3 0.750 0.115 0.300
Be4 0.250 0.300 0.115
Be5 0.250 0.847 0.153
Be6 0.250 0.885 0.700
Ag1 0.750 0.641 0.359
Ag2 0.250 0.359 0.641
```

Values from the calculation:
- VASP energy: -11.023 eV/atom
- Energy relative to the elements: 0.33 eV/f.u.
- Symmetry: No. 63
- Density of states at the Fermi level: 1.467 states/eV per cell
- ρ: 5.479 Mg/m³

***

No. 3
A plane-wave DFT calculation with meta-GGA SCAN was carried out for a PBEsol-optimized structure of HoGeRu.

```
data_HoGeRu
_chemical_formula_sum 'Ho4 Ge4 Ru4'
_symmetry_space_group_name_H-M 'P 1'
_symmetry_Int_Tables_number 1
_cell_length_a 4.368
_cell_length_b 6.911
_cell_length_c 7.115
_cell_angle_alpha 90.00
_cell_angle_beta 90.00
_cell_angle_gamma 90.00
loop_
_symmetry_equiv_pos_as_xyz
'x,y,z'
loop_
_atom_site_label
_atom_site_fract_x
_atom_site_fract_y
_atom_site_fract_z
Ru1 0.750 0.345 0.563
Ru2 0.750 0.845 0.937
Ru3 0.250 0.655 0.437
Ru4 0.250 0.155 0.063
Ge1 0.750 0.203 0.893
Ge2 0.250 0.297 0.393
Ge3 0.250 0.797 0.107
Ge4 0.750 0.703 0.607
Ho1 0.750 0.515 0.191
Ho2 0.250 0.985 0.691
Ho3 0.750 0.015 0.309
Ho4 0.250 0.485 0.809
```

Values from the calculation:
- VASP energy: -35.160 eV/atom
- Energy relative to the elements: -2.58 eV/f.u.
- Symmetry: No. 62
- Density of states at the Fermi level: 9.383 states/eV per cell
- ρ: 10.474 Mg/m³

***

No. 4
A plane-wave DFT calculation with meta-GGA SCAN was carried out for a PBEsol-optimized structure of In2ReTc.

```
data_In2ReTc
_chemical_formula_sum 'In2 Re1 Tc1'
_symmetry_space_group_name_H-M 'P 1'
_symmetry_Int_Tables_number 1
_cell_length_a 2.864
_cell_length_b 2.864
_cell_length_c 9.080
_cell_angle_alpha 90.00
_cell_angle_beta 90.00
_cell_angle_gamma 113.60
loop_
_symmetry_equiv_pos_as_xyz
'x,y,z'
loop_
_atom_site_label
_atom_site_fract_x
_atom_site_fract_y
_atom_site_fract_z
Tc1 0.500 0.500 0.000
Re1 0.500 0.500 0.500
In1 0.000 0.000 0.754
In2 0.000 0.000 0.246
```

Values from the calculation:
- VASP energy: -42.590 eV/atom
- Energy relative to the elements: 2.57 eV/f.u.
- Symmetry: No. 65
- Density of states at the Fermi level: 3.030 states/eV per cell
- ρ: 12.502 Mg/m³

***

No. 5
A plane-wave DFT calculation with meta-GGA SCAN was carried out for a PBEsol-optimized structure of SiSe2O.

```
data_SiSe2O
_chemical_formula_sum 'Si2 Se4 O2'
_symmetry_space_group_name_H-M 'P 1'
_symmetry_Int_Tables_number 1
_cell_length_a 5.816
_cell_length_b 5.816
_cell_length_c 5.816
_cell_angle_alpha 94.77
_cell_angle_beta 117.29
_cell_angle_gamma 117.29
loop_
_symmetry_equiv_pos_as_xyz
'x,y,z'
loop_
_atom_site_label
_atom_site_fract_x
_atom_site_fract_y
_atom_site_fract_z
Se1 0.511 0.375 0.386
Se2 0.489 0.875 0.864
Se3 0.011 0.136 0.625
Se4 0.989 0.614 0.125
Si1 0.000 0.000 0.000
Si2 0.500 0.750 0.250
O1 0.500 0.250 0.750
O2 0.000 0.500 0.500
```

Values from the calculation:
- VASP energy: -13.791 eV/atom
- Symmetry: No. 122
- Density of states at the Fermi level: 3.498 states/eV per cell
- ρ: 4.651 Mg/m³
- Formation energy (no corrections): 0.310 eV per atom

***

No. 6
A plane-wave DFT calculation with meta-GGA SCAN was carried out for a PBEsol-optimized structure of KHg2As2.

```
data_KHg2As2
_chemical_formula_sum 'K1 Hg2 As2'
_symmetry_space_group_name_H-M 'P 1'
_symmetry_Int_Tables_number 1
_cell_length_a 5.136
_cell_length_b 5.136
_cell_length_c 6.061
_cell_angle_alpha 115.07
_cell_angle_beta 115.07
_cell_angle_gamma 90.00
loop_
_symmetry_equiv_pos_as_xyz
'x,y,z'
loop_
_atom_site_label
_atom_site_fract_x
_atom_site_fract_y
_atom_site_fract_z
As1 0.627 0.627 0.254
As2 0.373 0.373 0.746
K1 0.000 0.000 0.000
Hg1 0.750 0.250 0.500
Hg2 0.250 0.750 0.500
```

Values from the calculation:
- VASP energy: -37.181 eV/atom
- Energy relative to the elements: -0.86 eV/f.u.
- Symmetry: No. 139
- Density of states at the Fermi level: 1.795 states/eV per cell
- ρ: 7.656 Mg/m³